Density functional theory data (PBEsol) for a geometry-optimized La2AlAu structure.

```
data_La2AlAu
_space_group_name_H-M_alt 'P 1'
_space_group_IT_number 1
_space_group_name_Hall 'P 1'
_cell_length_a 3.708
_cell_length_b 4.799
_cell_length_c 5.535
_cell_angle_alpha 90.00
_cell_angle_beta 90.10
_cell_angle_gamma 90.00
loop_
_atom_site_label
_atom_site_type_symbol
_atom_site_fract_x
_atom_site_fract_y
_atom_site_fract_z
_atom_site_occupancy
La1 La 0.000 0.000 0.000 1
La2 La 0.004 0.500 0.630 1
Al1 Al 0.502 0.500 0.163 1
Au1 Au 0.502 0.000 0.456 1
```

* total magnetization: 0.000 μB/cell
* formation enthalpy at 0 K: -0.5394 eV/atom



Density functional theory data (PBEsol) for a geometry-optimized Mg2CrCd structure.

```
data_Mg2CrCd
_space_group_name_H-M_alt 'P 1'
_space_group_IT_number 1
_space_group_name_Hall 'P 1'
_cell_length_a 3.564
_cell_length_b 4.355
_cell_length_c 9.138
_cell_angle_alpha 90.00
_cell_angle_beta 90.00
_cell_angle_gamma 90.00
loop_
_atom_site_label
_atom_site_type_symbol
_atom_site_fract_x
_atom_site_fract_y
_atom_site_fract_z
_atom_site_occupancy
Mg1 Mg 0.000 0.000 0.000 1
Mg2 Mg 0.000 0.500 0.284 1
Mg3 Mg 0.500 0.000 0.284 1
Mg4 Mg 0.500 0.500 0.000 1
Cr1 Cr 0.000 0.000 0.505 1
Cr2 Cr 0.500 0.500 0.505 1
Cd1 Cd 0.000 0.500 0.734 1
Cd2 Cd 0.500 0.000 0.734 1
```

* total magnetization: 0.732 μB/cell
* formation enthalpy at 0 K: 0.4230 eV/atom



Density functional theory data (PBEsol) for a geometry-optimized Tm2IrPt structure.

```
data_Tm2IrPt
_space_group_name_H-M_alt 'P 1'
_space_group_IT_number 1
_space_group_name_Hall 'P 1'
_cell_length_a 6.728
_cell_length_b 6.728
_cell_length_c 6.728
_cell_angle_alpha 90.00
_cell_angle_beta 90.00
_cell_angle_gamma 90.00
loop_
_atom_site_label
_atom_site_type_symbol
_atom_site_fract_x
_atom_site_fract_y
_atom_site_fract_z
_atom_site_occupancy
Tm1 Tm 0.250 0.250 0.250 1
Tm2 Tm 0.250 0.250 0.750 1
Tm3 Tm 0.250 0.750 0.250 1
Tm4 Tm 0.250 0.750 0.750 1
Tm5 Tm 0.750 0.250 0.250 1
Tm6 Tm 0.750 0.250 0.750 1
Tm7 Tm 0.750 0.750 0.250 1
Tm8 Tm 0.750 0.750 0.750 1
Ir1 Ir 0.000 0.000 0.000 1
Ir2 Ir 0.000 0.500 0.500 1
Ir3 Ir 0.500 0.000 0.500 1
Ir4 Ir 0.500 0.500 0.000 1
Pt1 Pt 0.000 0.000 0.500 1
Pt2 Pt 0.000 0.500 0.000 1
Pt3 Pt 0.500 0.000 0.000 1
Pt4 Pt 0.500 0.500 0.500 1
```

* total magnetization: 0.000 μB/cell
* formation enthalpy at 0 K: -1.0671 eV/atom



Density functional theory data (PBEsol) for a geometry-optimized Zn8Pt structure.

```
data_Zn8Pt
_space_group_name_H-M_alt 'P 1'
_space_group_IT_number 1
_space_group_name_Hall 'P 1'
_cell_length_a 6.046
_cell_length_b 6.046
_cell_length_c 6.046
_cell_angle_alpha 95.55
_cell_angle_beta 95.55
_cell_angle_gamma 143.76
loop_
_atom_site_label
_atom_site_type_symbol
_atom_site_fract_x
_atom_site_fract_y
_atom_site_fract_z
_atom_site_occupancy
Zn1 Zn 0.000 0.334 0.334 1
Zn2 Zn 0.000 0.666 0.666 1
Zn3 Zn 0.333 0.333 0.666 1
Zn4 Zn 0.333 0.667 0.000 1
Zn5 Zn 0.334 0.000 0.334 1
Zn6 Zn 0.666 0.000 0.666 1
Zn7 Zn 0.667 0.333 0.000 1
Zn8 Zn 0.667 0.667 0.334 1
Pt1 Pt 0.000 0.000 0.000 1
```

* total magnetization: 0.000 μB/cell
* formation enthalpy at 0 K: -0.1477 eV/atom



Density functional theory data (PBEsol) for a geometry-optimized SiAgPt2 structure.

```
data_SiAgPt2
_space_group_name_H-M_alt 'P 1'
_space_group_IT_number 1
_space_group_name_Hall 'P 1'
_cell_length_a 2.895
_cell_length_b 3.811
_cell_length_c 5.589
_cell_angle_alpha 90.00
_cell_angle_beta 103.49
_cell_angle_gamma 90.00
loop_
_atom_site_label
_atom_site_type_symbol
_atom_site_fract_x
_atom_site_fract_y
_atom_site_fract_z
_atom_site_occupancy
Si1 Si 0.000 0.000 0.000 1
Ag1 Ag 0.000 0.000 0.500 1
Pt1 Pt 0.375 0.500 0.228 1
Pt2 Pt 0.625 0.500 0.772 1
```

* total magnetization: 0.000 μB/cell
* raw total energy: -6.0392 eV per atom



Density functional theory data (PBEsol) for a geometry-optimized NbTeCl2 structure.

```
data_NbTeCl2
_space_group_name_H-M_alt 'P 1'
_space_group_IT_number 1
_space_group_name_Hall 'P 1'
_cell_length_a 6.734
_cell_length_b 6.734
_cell_length_c 6.734
_cell_angle_alpha 90.00
_cell_angle_beta 90.00
_cell_angle_gamma 90.00
loop_
_atom_site_label
_atom_site_type_symbol
_atom_site_fract_x
_atom_site_fract_y
_atom_site_fract_z
_atom_site_occupancy
Nb1 Nb 0.000 0.000 0.000 1
Nb2 Nb 0.000 0.500 0.500 1
Nb3 Nb 0.500 0.000 0.500 1
Nb4 Nb 0.500 0.500 0.000 1
Te1 Te 0.000 0.000 0.500 1
Te2 Te 0.000 0.500 0.000 1
Te3 Te 0.500 0.000 0.000 1
Te4 Te 0.500 0.500 0.500 1
Cl1 Cl 0.250 0.250 0.250 1
Cl2 Cl 0.250 0.250 0.750 1
Cl3 Cl 0.250 0.750 0.250 1
Cl4 Cl 0.250 0.750 0.750 1
Cl5 Cl 0.750 0.250 0.250 1
Cl6 Cl 0.750 0.250 0.750 1
Cl7 Cl 0.750 0.750 0.250 1
Cl8 Cl 0.750 0.750 0.750 1
```

* total magnetization: 0.591 μB/cell
* raw total energy: -4.3335 eV per atom



Density functional theory data (PBEsol) for a geometry-optimized Li2TlRh structure.

```
data_Li2TlRh
_space_group_name_H-M_alt 'P 1'
_space_group_IT_number 1
_space_group_name_Hall 'P 1'
_cell_length_a 3.237
_cell_length_b 4.377
_cell_length_c 4.426
_cell_angle_alpha 90.00
_cell_angle_beta 90.00
_cell_angle_gamma 90.00
loop_
_atom_site_label
_atom_site_type_symbol
_atom_site_fract_x
_atom_site_fract_y
_atom_site_fract_z
_atom_site_occupancy
Li1 Li 0.000 0.000 0.000 1
Li2 Li 0.500 0.500 0.000 1
Tl1 Tl 0.000 0.500 0.500 1
Rh1 Rh 0.500 0.000 0.500 1
```

* total magnetization: 0.000 μB/cell
* formation enthalpy at 0 K: -0.1734 eV/atom



Density functional theory data (PBEsol) for a geometry-optimized ReNiHg3 structure.

```
data_ReNiHg3
_space_group_name_H-M_alt 'P 1'
_space_group_IT_number 1
_space_group_name_Hall 'P 1'
_cell_length_a 5.154
_cell_length_b 5.154
_cell_length_c 5.154
_cell_angle_alpha 90.00
_cell_angle_beta 90.00
_cell_angle_gamma 90.00
loop_
_atom_site_label
_atom_site_type_symbol
_atom_site_fract_x
_atom_site_fract_y
_atom_site_fract_z
_atom_site_occupancy
Re1 Re 0.000 0.000 0.000 1
Ni1 Ni 0.500 0.500 0.500 1
Hg1 Hg 0.000 0.000 0.500 1
Hg2 Hg 0.000 0.500 0.000 1
Hg3 Hg 0.500 0.000 0.000 1
```

* total magnetization: 1.950 μB/cell
* formation enthalpy at 0 K: 1.6455 eV/atom